Record 1
Ho5Cu2Pd: relaxed, PBE-GGA.

## Properties
ρ	9.23	g/cm³
DOS(E_F)	20.8	states/eV/cell
total DFT energy (no corrections)	-39.02	eV/f.u.

abc: 7.054 7.054 9.134
angles: 112.71 112.71 90.00
Sites, in units of the cell vectors:
Cu: 0.377 0.877 0.000
Cu: 0.123 0.377 0.000
Cu: 0.877 0.623 0.000
Cu: 0.623 0.123 0.000
Ho: 0.180 0.022 0.702
Ho: 0.478 0.320 0.298
Ho: 0.500 0.500 0.000
Ho: 0.680 0.180 0.702
Ho: 0.022 0.522 0.702
Ho: 0.978 0.478 0.298
Ho: 0.820 0.978 0.298
Ho: 0.000 0.000 0.000
Ho: 0.522 0.680 0.702
Ho: 0.320 0.820 0.298
Pd: 0.750 0.750 0.500
Pd: 0.250 0.250 0.500

=====

Record 2
Nd12Ru6Pb: relaxed, PBE-GGA.

## Properties
ρ	7.97	g/cm³
DOS(E_F)	19.3	states/eV/cell
total DFT energy (no corrections)	-120.36	eV/f.u.

abc: 8.830 8.830 8.830
angles: 109.47 109.47 109.47
Sites, in units of the cell vectors:
Nd: 0.195 0.299 0.495
Nd: 0.104 0.805 0.299
Nd: 0.299 0.495 0.195
Nd: 0.701 0.896 0.195
Nd: 0.495 0.195 0.299
Nd: 0.896 0.195 0.701
Nd: 0.701 0.505 0.805
Nd: 0.805 0.701 0.505
Nd: 0.505 0.805 0.701
Nd: 0.299 0.104 0.805
Nd: 0.195 0.701 0.896
Nd: 0.805 0.299 0.104
Pb: 0.000 0.000 0.000
Ru: 0.120 0.620 0.500
Ru: 0.880 0.380 0.500
Ru: 0.620 0.500 0.120
Ru: 0.500 0.880 0.380
Ru: 0.380 0.500 0.880
Ru: 0.500 0.120 0.620

=====

Record 3
La2PrHoHg2: relaxed, PBE-GGA.

## Properties
ρ	8.80	g/cm³
DOS(E_F)	9.2	states/eV/cell
total DFT energy (no corrections)	-21.82	eV/f.u.

abc: 5.200 7.384 9.683
angles: 90.00 90.00 90.00
Sites, in units of the cell vectors:
La: 0.000 0.836 0.830
La: 0.500 0.520 0.941
La: 0.500 0.020 0.059
La: 0.000 0.336 0.170
Hg: 0.000 0.765 0.159
Hg: 0.500 0.757 0.634
Hg: 0.000 0.265 0.841
Hg: 0.500 0.257 0.366
Pr: 0.000 0.494 0.558
Pr: 0.000 0.994 0.442
Ho: 0.500 0.173 0.675
Ho: 0.500 0.673 0.325

=====

Record 4
Li3UNi8: relaxed, PBE-GGA.

## Properties
ρ	7.78	g/cm³
DOS(E_F)	12.1	states/eV/cell
total DFT energy (no corrections)	-64.85	eV/f.u.

abc: 4.800 4.800 8.273
angles: 73.14 73.14 60.00
Last column: magnetic moment on the atom in μB.
Sites, in units of the cell vectors:
Ni: 0.938 0.938 0.683  0.08
Ni: 0.440 0.938 0.683  0.08
Ni: 0.440 0.440 0.185  0.12
Ni: 0.938 0.440 0.683  0.08
Ni: 0.440 0.935 0.185  0.12
Ni: 0.689 0.689 0.934  0.07
Ni: 0.935 0.440 0.185  0.12
Ni: 0.188 0.188 0.437  0.10
Li: 0.007 0.007 0.978  -0.01
Li: 0.487 0.487 0.538  -0.01
Li: 0.373 0.373 0.880  -0.01
U: 0.874 0.874 0.377  -1.01

=====

Record 5
Pm2Pr3Tm7: relaxed, PBE-GGA.

## Properties
ρ	8.05	g/cm³
DOS(E_F)	17.4	states/eV/cell
total DFT energy (no corrections)	-54.00	eV/f.u.

abc: 3.533 6.347 17.974
angles: 75.79 90.00 90.00
Sites, in units of the cell vectors:
Tm: 0.000 0.565 0.163
Tm: 0.500 0.247 0.499
Tm: 0.000 0.000 0.000
Tm: 0.500 0.940 0.836
Tm: 0.500 0.753 0.501
Tm: 0.000 0.435 0.837
Tm: 0.500 0.060 0.164
Pr: 0.500 0.500 0.000
Pr: 0.000 0.886 0.659
Pr: 0.000 0.114 0.341
Pm: 0.500 0.621 0.325
Pm: 0.500 0.379 0.675

=====

Record 6
Te4W3S2: relaxed, PBE-GGA.

## Properties
ρ	8.05	g/cm³
DOS(E_F)	1.9	states/eV/cell
energy relative to the elements, uncorrected	-255	meV/atom
total DFT energy (no corrections)	-61.97	eV/f.u.

abc: 3.421 3.421 22.921
angles: 90.00 90.00 120.00
Sites, in units of the cell vectors:
W: 0.000 0.000 0.680
W: 0.333 0.667 0.340
W: 0.000 0.000 0.021
Te: 0.000 0.000 0.421
Te: 0.333 0.667 0.598
Te: 0.000 0.000 0.258
Te: 0.333 0.667 0.762
S: 0.333 0.667 0.087
S: 0.333 0.667 0.956

=====

Record 7
Li5TlPt: relaxed, PBE-GGA.

## Properties
ρ	5.88	g/cm³
DOS(E_F)	1.3	states/eV/cell
total DFT energy (no corrections)	-19.85	eV/f.u.

abc: 3.963 3.963 7.803
angles: 90.00 90.00 90.00
Sites, in units of the cell vectors:
Li: 0.500 0.000 0.733
Li: 0.000 0.000 0.500
Li: 0.500 0.000 0.267
Li: 0.000 0.500 0.267
Li: 0.000 0.500 0.733
Pt: 0.500 0.500 0.500
Tl: 0.000 0.000 0.000

=====

Record 8
Th2Ga2Cu3: relaxed, PBE-GGA.

## Properties
ρ	9.62	g/cm³
DOS(E_F)	11.4	states/eV/cell
total DFT energy (no corrections)	-35.31	eV/f.u.

abc: 9.595 9.595 6.868
angles: 90.00 90.00 154.31
Sites, in units of the cell vectors:
Th: 0.052 0.948 0.750
Th: 0.156 0.844 0.250
Th: 0.948 0.052 0.250
Th: 0.844 0.156 0.750
Cu: 0.441 0.559 0.569
Cu: 0.441 0.559 0.931
Cu: 0.777 0.223 0.250
Cu: 0.559 0.441 0.069
Cu: 0.559 0.441 0.431
Cu: 0.223 0.777 0.750
Ga: 0.686 0.314 0.938
Ga: 0.686 0.314 0.562
Ga: 0.314 0.686 0.438
Ga: 0.314 0.686 0.062

=====

Question: Number 1 is which compound?
Answer: Ho5Cu2Pd